No. 1
Material: Be2GaRh3
Method: DFT, GGA-PBE
State: relaxed

Computed properties:
magnetic moment	0.00	μB per formula unit
formation energy from the elements	-0.65	eV per atom

Cell: 2.872 2.872 8.648 Å, 90.00 90.00 90.00°
Fractional coordinates of all 6 atoms:
Rh1 0.000 0.000 0.317
Be1 0.500 0.500 0.152
Be2 0.500 0.500 0.848
Ga1 0.500 0.500 0.500
Rh2 0.000 0.000 0.683
Rh3 0.000 0.000 0.000

=====

No. 2
Material: BeGa2Rh2
Method: DFT, GGA-PBE
State: relaxed

Computed properties:
magnetic moment	0.00	μB per formula unit
formation energy from the elements	-0.53	eV per atom
excess energy over the best structure of this formula in the dataset	0	meV per atom

Cell: 6.000 6.000 3.893 Å, 90.00 90.00 90.00°
Fractional coordinates of all 10 atoms:
Be1 0.000 0.000 0.000
Rh1 0.159 0.341 0.000
Rh2 0.659 0.159 0.000
Ga1 0.843 0.343 0.500
Ga2 0.157 0.657 0.500
Ga3 0.343 0.157 0.500
Rh3 0.341 0.841 0.000
Rh4 0.841 0.659 0.000
Be2 0.500 0.500 0.000
Ga4 0.657 0.843 0.500

=====

No. 3
Material: BeGaRh3
Method: DFT, GGA-PBE
State: relaxed

Computed properties:
magnetic moment	1.53	μB per formula unit
formation energy from the elements	0.95	eV per atom
excess energy over the best structure of this formula in the dataset	1007	meV per atom

Cell: 4.498 4.498 4.498 Å, 90.00 90.00 90.00°
Each line ends with the local moment (μB).
Fractional coordinates of all 5 atoms:
Be1 0.500 0.500 0.500  -0.01
Rh1 0.500 0.000 0.000  0.34
Rh2 0.000 0.000 0.500  0.70
Ga1 0.000 0.000 0.000  -0.03
Rh3 0.000 0.500 0.000  0.54

=====

No. 4
Material: Be3GaRh
Method: DFT, GGA-PBE
State: relaxed

Computed properties:
magnetic moment	0.00	μB per formula unit
formation energy from the elements	0.34	eV per atom

Cell: 4.205 4.205 4.205 Å, 90.00 90.00 90.00°
Fractional coordinates of all 5 atoms:
Ga1 0.500 0.500 0.500
Be1 0.000 0.000 0.500
Rh1 0.000 0.000 0.000
Be2 0.000 0.500 0.000
Be3 0.500 0.000 0.000

=====

The lowest formation energy from the elements belongs to which entry?
Be2GaRh3

=====

The highest formation energy from the elements belongs to which entry?
BeGaRh3